Entry 1:
Crystalline AlTlAu3 at its relaxed geometry, computed with GGA-PBE.

Values from the calculation:
Total moment, μB/cell: 0.0
Formation energy, meV/atom: 49
Space-group type: Pm-3m (221)
Energy above the most stable polymorph in this dataset, kJ/mol of atoms: 18.89
Crystal system: cubic
Total DFT energy (no corrections), eV/cell: -15.7

Cell and atoms, written as extended XYZ:
```
5
Lattice="4.974 0.000 0.000 0.000 4.974 0.000 0.000 0.000 4.974" Properties=species:S:1:pos:R:3 pbc="T T T"
Au 0.000 0.000 2.487
Au 2.487 0.000 0.000
Au 0.000 2.487 0.000
Tl 2.487 2.487 2.487
Al 0.000 0.000 0.000
```

Entry 2:
Crystalline AlTlAu2 at its relaxed geometry, computed with GGA-PBE.

Values from the calculation:
Total moment, μB/cell: 0.0
Formation energy, meV/atom: -163
Space-group type: Pmmm (47)
Energy above the most stable polymorph in this dataset, kJ/mol of atoms: 0.15
Crystal system: orthorhombic
Total DFT energy (no corrections), eV/cell: -13.3

Cell and atoms, written as extended XYZ:
```
4
Lattice="-1.512 2.618 -0.482 -2.490 -1.129 1.682 3.277 3.179 6.985" Properties=species:S:1:pos:R:3 pbc="T T T"
Al 0.457 3.129 5.839
Au 3.072 2.981 6.549
Au 1.843 1.788 3.928
Tl -1.182 1.539 2.346
```